1.
VASP calculation (PBE) on ZrTlI2O after structural relaxation.

Cell lengths 6.1670, 6.1670, 4.0538 Å; angles 90.00, 90.00, 90.00 degrees
Closest atoms and distances in Å follow each position.
Element x y z (fractional)
I 0.0000 0.5000 0.0000  2 Tl 3.08
I 0.5000 0.0000 0.0000  2 Tl 3.08
Tl 0.0000 0.0000 0.0000  2 O 2.03
O 0.0000 0.0000 0.5000  2 Tl 2.03
Zr 0.5000 0.5000 0.5000  8 I 3.69, 2 Zr 4.05

Computed properties:
size of the total moment	2.427	μB/cell
raw formation energy	0.241	eV per atom
energy relative to the lowest polymorph listed for this composition	1.450	eV/atom
calculated volume	154.2	Å³/f.u.
DOS(E_F)	0.704	states/eV per atom
E_tot	-3.553	eV per atom


2.
VASP calculation (PBE) on TmIO5 after structural relaxation.

Cell lengths 5.4358, 5.4358, 7.6254 Å; angles 69.44, 69.44, 71.40 degrees
Closest atoms and distances in Å follow each position.
Element x y z (fractional)
Tm 0.5373 0.4627 0.2500  7 O 2.16-2.41
Tm 0.4627 0.5373 0.7500  7 O 2.16-2.41
I 0.0000 0.0000 0.0000  6 O 1.83-1.99
I 0.0000 0.0000 0.5000  6 O 1.83-1.99
O 0.7844 0.7571 0.1176  1 I 1.83
O 0.2854 0.6961 0.4715  1 I 1.89
O 0.7571 0.7844 0.6176  1 I 1.83
O 0.9088 0.0912 0.2500  2 I 1.99
O 0.3039 0.7146 0.0285  1 I 1.89
O 0.6961 0.2854 0.9715  1 I 1.89
O 0.0912 0.9088 0.7500  2 I 1.99
O 0.2429 0.2156 0.3824  1 I 1.83
O 0.7146 0.3039 0.5285  1 I 1.89
O 0.2156 0.2429 0.8824  1 I 1.83

Computed properties:
size of the total moment	0.000	μB/cell
raw formation energy	-1.455	eV per atom
calculated volume	96.3	Å³/f.u.
E_tot	-5.857	eV per atom


3.
VASP calculation (PBE) on Tm3IO8 after structural relaxation.

Cell lengths 5.2751, 5.2751, 5.2751 Å; angles 90.00, 90.00, 90.00 degrees
Closest atoms and distances in Å follow each position.
Element x y z (fractional)
Tm 0.5000 0.5000 0.0000  8 O 2.32
Tm 0.5000 0.0000 0.5000  8 O 2.32
Tm 0.0000 0.5000 0.5000  8 O 2.32
I 0.0000 0.0000 0.0000  8 O 2.19
O 0.2401 0.2401 0.7599  1 I 2.19, 3 Tm 2.32
O 0.2401 0.7599 0.2401  1 I 2.19, 3 Tm 2.32
O 0.7599 0.2401 0.2401  1 I 2.19, 3 Tm 2.32
O 0.7599 0.7599 0.7599  1 I 2.19, 3 Tm 2.32
O 0.7599 0.7599 0.2401  1 I 2.19, 3 Tm 2.32
O 0.7599 0.2401 0.7599  1 I 2.19, 3 Tm 2.32
O 0.2401 0.7599 0.7599  1 I 2.19, 3 Tm 2.32
O 0.2401 0.2401 0.2401  1 I 2.19, 3 Tm 2.32

Computed properties:
size of the total moment	0.001	μB/cell
raw formation energy	-2.205	eV per atom
calculated volume	146.8	Å³/f.u.
DOS(E_F)	0.861	states/eV per atom
E_tot	-6.757	eV per atom


4.
VASP calculation (PBE) on TmIO after structural relaxation.

Cell lengths 3.8887, 3.8887, 10.0629 Å; angles 90.00, 90.00, 90.00 degrees
Closest atoms and distances in Å follow each position.
Element x y z (fractional)
Tm 0.5000 0.0000 0.1061  4 O 2.22
Tm 0.0000 0.5000 0.8939  4 O 2.22
I 0.5000 0.0000 0.7027  4 Tm 3.36, 4 O 3.57
I 0.0000 0.5000 0.2973  4 Tm 3.36, 4 O 3.57
O 0.5000 0.5000 0.0000  4 Tm 2.22
O 0.0000 0.0000 0.0000  4 Tm 2.22

Computed properties:
size of the total moment	0.000	μB/cell
raw formation energy	-2.737	eV per atom
calculated volume	76.1	Å³/f.u.
DOS(E_F)	0.000	states/eV per atom
E_tot	-6.397	eV per atom